4
Lattice="4.3581 0.0000 0.0000 0.0000 4.3581 0.0000 0.0000 0.0000 4.2520" Properties=species:S:1:pos:R:3 comment="ScTaCd2 (PBE, optimized geometry)" formation_energy_ev_per_atom=0.146 e_above_lowest_polymorph_ev_per_atom=0.146 pbc="T T T"
Sc 0.0000 0.0000 0.0000
Ta 2.1791 2.1791 0.0000
Cd 0.0000 2.1791 2.1260
Cd 2.1791 0.0000 2.1260